# 1
Material: Rb2NiF
Method: DFT, PBE with a Hubbard U
State: relaxed

Output
Space group: Fm-3m (225)
E: -1.831 eV/atom
Crystal system: cubic

Cell lengths 5.5625, 5.5625, 5.5625 Å; angles 60.00, 60.00, 60.00 degrees
Last column: nearest neighbours and their distance in Å.
Fractional coordinates of all 4 atoms:
1 Ni 0.5000 0.5000 0.5000  8 Rb 3.41
2 Rb 0.2500 0.2500 0.2500  4 F 3.41, 4 Ni 3.41
3 Rb 0.7500 0.7500 0.7500  4 F 3.41, 4 Ni 3.41
4 F 0.0000 0.0000 0.0000  8 Rb 3.41

# 2
Material: Rb2NiF7
Method: DFT, PBE with a Hubbard U
State: relaxed

Output
Space group: I4/mmm (139)
E: -3.605 eV/atom
Crystal system: tetragonal
Relative energy among the computed polymorphs: 0.00 kcal/mol of atoms

Cell lengths 5.9939, 5.9939, 6.1959 Å; angles 61.07, 61.07, 90.00 degrees
Last column: nearest neighbours and their distance in Å.
Fractional coordinates of all 10 atoms:
1 Ni 0.0000 0.0000 0.0000  6 F 1.80-1.81
2 Rb 0.7500 0.2500 0.5000  12 F 3.03-3.11
3 Rb 0.2500 0.7500 0.5000  12 F 3.03-3.11
4 F 0.5000 0.5000 0.0000  4 F 2.43
5 F 0.1991 0.1991 0.6018  1 Ni 1.80
6 F 0.8009 0.8009 0.3982  1 Ni 1.80
7 F 0.2137 0.2137 0.0000  1 Ni 1.81
8 F 0.7863 0.7863 0.0000  1 Ni 1.81
9 F 0.7863 0.2137 0.0000  1 Ni 1.81
10 F 0.2137 0.7863 0.0000  1 Ni 1.81

# 3
Material: Rb2NiF6
Method: DFT, PBE with a Hubbard U
State: relaxed

Output
Space group: P2_1/c (14)
E: -3.880 eV/atom
Crystal system: monoclinic

Cell lengths 5.9492, 7.3260, 7.6783 Å; angles 90.00, 90.00, 106.74 degrees
Last column: nearest neighbours and their distance in Å.
Fractional coordinates of all 18 atoms:
1 Rb 0.1377 0.3191 0.5654  9 F 2.78-3.10
2 Rb 0.3623 0.1809 0.0654  9 F 2.78-3.10
3 Rb 0.6377 0.8191 0.9346  9 F 2.78-3.10
4 Rb 0.8623 0.6809 0.4346  9 F 2.78-3.10
5 Ni 0.5000 0.0000 0.5000  6 F 1.80-1.81
6 Ni 0.0000 0.5000 0.0000  6 F 1.80-1.81
7 F 0.1160 0.7550 0.0302  1 Ni 1.81
8 F 0.1243 0.4595 0.2065  1 Ni 1.81
9 F 0.2348 0.0088 0.3910  1 Ni 1.80
10 F 0.2652 0.4912 0.8910  1 Ni 1.80
11 F 0.3757 0.0405 0.7065  1 Ni 1.81
12 F 0.3840 0.7450 0.5302  1 Ni 1.81
13 F 0.8840 0.2450 0.9698  1 Ni 1.81
14 F 0.8757 0.5405 0.7935  1 Ni 1.81
15 F 0.7652 0.9912 0.6090  1 Ni 1.80
16 F 0.7348 0.5088 0.1090  1 Ni 1.80
17 F 0.6243 0.9595 0.2935  1 Ni 1.81
18 F 0.6160 0.2550 0.4698  1 Ni 1.81

| no. | DOS(E_F) (states/eV per atom) |
| --- | --- |
| 1 | 2.932 |
| 2 | 0.481 |
| 3 | 0.000 |